Entry 1:
First-principles (PBE) data for a geometry-optimized PuTh2VN4 structure, as listed in the Alexandria database.

a = 3.4782 Å, b = 6.1778 Å, c = 12.3018 Å
α = 90.00°, β = 90.00°, γ = 106.35°
Fractional coordinates of all 16 atoms:
1 Pu 0.1028 0.2057 0.7500
2 Pu 0.8972 0.7943 0.2500
3 Th 0.3662 0.7324 0.5471
4 Th 0.6338 0.2676 0.0471
5 Th 0.6338 0.2676 0.4529
6 Th 0.3662 0.7324 0.9529
7 V 0.8333 0.6666 0.7500
8 V 0.1667 0.3334 0.2500
9 N 0.2729 0.5458 0.1343
10 N 0.7271 0.4542 0.6343
11 N 0.7271 0.4542 0.8657
12 N 0.2729 0.5458 0.3657
13 N 0.0000 0.0000 0.5000
14 N 0.0000 0.0000 0.0000
15 N 0.4194 0.8388 0.7500
16 N 0.5806 0.1612 0.2500

Formation energy without anion corrections, eV per atom: -1.126
Calculated volume, Å³/atom: 15.85
Symmetry: Cmcm (63)

---

Entry 2:
First-principles (PBE) data for a geometry-optimized PuTh2WN5 structure, as listed in the Alexandria database.

a = 5.9360 Å, b = 6.8380 Å, c = 6.8380 Å
α = 90.00°, β = 90.00°, γ = 90.00°
Fractional coordinates of all 18 atoms:
1 Pu 0.0000 0.5000 0.5000
2 Pu 0.0000 0.0000 0.0000
3 Th 0.5000 0.6718 0.1718
4 Th 0.5000 0.1718 0.3282
5 Th 0.5000 0.8282 0.6718
6 Th 0.5000 0.3282 0.8282
7 W 0.0000 0.0000 0.5000
8 W 0.0000 0.5000 0.0000
9 N 0.5000 0.5000 0.5000
10 N 0.5000 0.0000 0.0000
11 N 0.2345 0.1437 0.6437
12 N 0.2345 0.8563 0.3563
13 N 0.2345 0.3563 0.1437
14 N 0.2345 0.6437 0.8563
15 N 0.7655 0.1437 0.6437
16 N 0.7655 0.6437 0.8563
17 N 0.7655 0.8563 0.3563
18 N 0.7655 0.3563 0.1437

Formation energy without anion corrections, eV per atom: -0.988
Calculated volume, Å³/atom: 15.42
Symmetry: P4/mbm (127)

---

Entry 3:
First-principles (PBE) data for a geometry-optimized Y2PuThN4 structure, as listed in the Alexandria database.

a = 3.5407 Å, b = 6.1121 Å, c = 6.1302 Å
α = 109.67°, β = 90.00°, γ = 90.00°
Fractional coordinates of all 8 atoms:
1 Y 0.5000 0.0000 0.5000
2 Y 0.0000 0.5000 0.5000
3 Pu 0.0000 0.0000 0.0000
4 Th 0.5000 0.5000 0.0000
5 N 0.5000 0.2431 0.2459
6 N 0.5000 0.7569 0.7541
7 N 0.0000 0.2487 0.7473
8 N 0.0000 0.7513 0.2527

Formation energy without anion corrections, eV per atom: -1.535
Calculated volume, Å³/atom: 15.62
Symmetry: P2/m (10)

---

Entry 4:
First-principles (PBE) data for a geometry-optimized YPuTh2N4 structure, as listed in the Alexandria database.

a = 3.5960 Å, b = 6.2159 Å, c = 6.1820 Å
α = 109.71°, β = 90.00°, γ = 90.00°
Fractional coordinates of all 8 atoms:
1 Y 0.5000 0.5000 0.0000
2 Pu 0.0000 0.0000 0.0000
3 Th 0.5000 0.0000 0.5000
4 Th 0.0000 0.5000 0.5000
5 N 0.5000 0.2468 0.2425
6 N 0.5000 0.7532 0.7575
7 N 0.0000 0.2523 0.7528
8 N 0.0000 0.7477 0.2472

Formation energy without anion corrections, eV per atom: -1.500
Calculated volume, Å³/atom: 16.26
Symmetry: P2/m (10)

---

Entry 5:
First-principles (PBE) data for a geometry-optimized PuThZr2N4 structure, as listed in the Alexandria database.

a = 3.3873 Å, b = 6.0012 Å, c = 5.8620 Å
α = 71.02°, β = 90.00°, γ = 90.00°
Fractional coordinates of all 8 atoms:
1 Pu 0.5000 0.5000 0.0000
2 Th 0.0000 0.5000 0.5000
3 Zr 0.0000 0.0000 0.0000
4 Zr 0.5000 0.0000 0.5000
5 N 0.0000 0.7723 0.7455
6 N 0.0000 0.2277 0.2545
7 N 0.5000 0.7778 0.2385
8 N 0.5000 0.2223 0.7615

Formation energy without anion corrections, eV per atom: -1.554
Calculated volume, Å³/atom: 14.09
Symmetry: P2/m (10)

---

Entry 6:
First-principles (PBE) data for a geometry-optimized PuTh2ZrN4 structure, as listed in the Alexandria database.

a = 3.4943 Å, b = 6.0554 Å, c = 6.1193 Å
α = 109.07°, β = 90.00°, γ = 90.00°
Fractional coordinates of all 8 atoms:
1 Pu 0.5000 0.5000 0.0000
2 Th 0.5000 0.0000 0.5000
3 Th 0.0000 0.5000 0.5000
4 Zr 0.0000 0.0000 0.0000
5 N 0.5000 0.2332 0.2251
6 N 0.5000 0.7668 0.7749
7 N 0.0000 0.2481 0.7729
8 N 0.0000 0.7519 0.2271

Formation energy without anion corrections, eV per atom: -1.493
Calculated volume, Å³/atom: 15.30
Symmetry: P2/m (10)